Entry 1:
DFT (PBE) results for an optimized crystal structure of La5Cd4Ir2.

a = 3.863 Å, b = 8.353 Å, c = 18.751 Å
α = 90.00°, β = 90.00°, γ = 90.00°
Fractional positions:
Ir1 0.500 0.014 0.803
Ir2 0.500 0.486 0.303
Ir3 0.500 0.514 0.697
Ir4 0.500 0.986 0.197
Cd1 0.500 0.712 0.433
Cd2 0.500 0.437 0.852
Cd3 0.500 0.563 0.148
Cd4 0.500 0.937 0.648
Cd5 0.500 0.063 0.352
Cd6 0.500 0.788 0.933
Cd7 0.500 0.212 0.067
Cd8 0.500 0.288 0.567
La1 0.000 0.254 0.221
La2 0.000 0.000 0.500
La3 0.000 0.500 0.000
La4 0.000 0.389 0.409
La5 0.000 0.246 0.721
La6 0.000 0.889 0.091
La7 0.000 0.754 0.279
La8 0.000 0.611 0.591
La9 0.000 0.746 0.779
La10 0.000 0.111 0.909

Calculated values
E_form = -0.523 eV per atom
Total magnetic moment = 0.00 μB/f.u.
Space group = No. 55


Entry 2:
DFT (PBE) results for an optimized crystal structure of Ta2SeCl8.

a = 7.221 Å, b = 7.221 Å, c = 8.049 Å
α = 91.28°, β = 91.28°, γ = 109.40°
Fractional positions:
Se1 0.000 0.000 0.000
Cl1 0.098 0.705 0.301
Cl2 0.902 0.295 0.699
Cl3 0.619 0.619 0.211
Cl4 0.828 0.828 0.585
Cl5 0.295 0.902 0.699
Cl6 0.381 0.381 0.789
Cl7 0.705 0.098 0.301
Cl8 0.172 0.172 0.415
Ta1 0.113 0.113 0.722
Ta2 0.887 0.887 0.278

Calculated values
Total magnetic moment = 0.00 μB/f.u.
Uncorrected formation energy = -1.20 eV/atom
Space group = No. 12


Entry 3:
DFT (PBE) results for an optimized crystal structure of NiAs2SeCl.

a = 4.733 Å, b = 4.733 Å, c = 4.639 Å
α = 90.00°, β = 90.00°, γ = 90.00°
Fractional positions:
As1 0.500 0.000 0.000
As2 0.000 0.500 0.000
Ni1 0.000 0.000 0.000
Se1 0.000 0.000 0.500
Cl1 0.500 0.500 0.500

Calculated values
Total magnetic moment = 0.00 μB/f.u.
Uncorrected formation energy = 0.42 eV/atom
Energy above the most stable polymorph in this dataset = 0 meV per atom
Space group = No. 123